Record 1
A relaxed structure of BaScCo2, computed with PBE-GGA.

Calculated values
As for the space group: No. 141. The uncorrected energy is -5.125 eV/atom. The size of the total moment is 1.03 μB per formula unit. Its energy relative to the elements is 492 meV per atom.

a = 9.0055 Å, b = 9.0055 Å, c = 9.0055 Å
α = 148.17°, β = 148.17°, γ = 45.63°
Closest atoms and distances in Å follow each position.
Fractional coordinates of all 8 atoms:
Ba1 0.3750 0.6250 0.7500  8 Co 3.45, 4 Sc 3.49
Ba2 0.6250 0.3750 0.2500  8 Co 3.45, 4 Sc 3.49
Sc1 0.1250 0.8750 0.2500  4 Co 2.41
Sc2 0.8750 0.1250 0.7500  4 Co 2.41
Co1 0.0000 0.0000 0.0000  2 Sc 2.41, 2 Co 2.47
Co2 0.0000 0.0000 0.5000  2 Sc 2.41, 2 Co 2.47
Co3 0.0000 0.5000 0.0000  2 Sc 2.41, 2 Co 2.47
Co4 0.5000 0.0000 0.5000  2 Sc 2.41, 2 Co 2.47



Record 2
A relaxed structure of SrCa2Mo, computed with PBE-GGA.

Calculated values
As for the space group: No. 119. The uncorrected energy is -3.392 eV/atom. The size of the total moment is 2.48 μB per formula unit. Its energy relative to the elements is 738 meV per atom.

a = 5.6633 Å, b = 5.6633 Å, c = 5.6633 Å
α = 119.88°, β = 119.88°, γ = 90.20°
Closest atoms and distances in Å follow each position.
Fractional coordinates of all 4 atoms:
Sr1 0.0000 0.0000 0.0000  4 Mo 3.47, 4 Ca 3.47
Ca1 0.2500 0.7500 0.5000  4 Ca 3.47, 4 Sr 3.47
Ca2 0.5000 0.5000 0.0000  4 Mo 3.47, 4 Ca 3.47
Mo1 0.7500 0.2500 0.5000  4 Ca 3.47, 4 Sr 3.47



Record 3
A relaxed structure of Sm3Zn3Ag, computed with PBE-GGA.

Calculated values
As for the space group: No. 44. The uncorrected energy is -3.263 eV/atom. The size of the total moment is 0.00 μB per formula unit. Its energy relative to the elements is -287 meV per atom.

a = 10.4327 Å, b = 10.4327 Å, c = 10.4327 Å
α = 160.10°, β = 154.74°, γ = 32.37°
Closest atoms and distances in Å follow each position.
Fractional coordinates of all 7 atoms:
Sm1 0.0000 0.0000 0.0000  7 Zn 3.08-3.32
Sm2 0.3874 0.3874 0.0000  5 Zn 3.10-3.34, 2 Ag 3.16
Sm3 0.6901 0.1901 0.5000  8 Zn 3.19-3.40, 4 Ag 3.21
Zn1 0.1245 0.6245 0.5000  1 Ag 2.67, 2 Zn 2.68
Zn2 0.5542 0.5542 0.0000  2 Zn 2.68
Zn3 0.8341 0.8341 0.0000  2 Ag 2.75
Ag1 0.2579 0.7579 0.5000  3 Zn 2.67-2.75



Record 4
A relaxed structure of K2Tl4Hg3Au, computed with PBE-GGA.

Calculated values
As for the space group: No. 115. The uncorrected energy is -1.709 eV/atom. The size of the total moment is 0.00 μB per formula unit. Its energy relative to the elements is -125 meV per atom.

a = 5.3391 Å, b = 5.3391 Å, c = 11.7938 Å
α = 90.00°, β = 90.00°, γ = 90.00°
Closest atoms and distances in Å follow each position.
Fractional coordinates of all 10 atoms:
K1 0.0000 0.5000 0.2321  6 Hg 3.82-4.10, 2 Au 3.82, 9 Tl 4.04-4.14
K2 0.5000 0.0000 0.7679  6 Hg 3.82-4.10, 2 Au 3.82, 9 Tl 4.04-4.14
Tl1 0.0000 0.0000 0.5000  4 Hg 3.10
Tl2 0.0000 0.5000 0.8889  3 Hg 2.97-3.02, 2 Au 2.97
Tl3 0.5000 0.0000 0.1111  3 Hg 2.97-3.02, 2 Au 2.97
Tl4 0.5000 0.5000 0.5000  4 Hg 3.10
Hg1 0.0000 0.0000 0.0000  4 Tl 2.97
Hg2 0.0000 0.5000 0.6328  5 Tl 3.02-3.10
Hg3 0.5000 0.0000 0.3672  5 Tl 3.02-3.10
Au1 0.5000 0.5000 0.0000  4 Tl 2.97



Record 5
A relaxed structure of PRhW, computed with PBE-GGA.

Calculated values
As for the space group: No. 107. The uncorrected energy is -8.780 eV/atom. The size of the total moment is 0.00 μB per formula unit. Its energy relative to the elements is -209 meV per atom.

a = 5.2812 Å, b = 5.2812 Å, c = 5.2812 Å
α = 147.56°, β = 147.56°, γ = 46.53°
Closest atoms and distances in Å follow each position.
Fractional coordinates of all 3 atoms:
P1 0.0000 0.0000 0.0000  4 W 2.48, 4 Rh 2.63
Rh1 0.6656 0.6656 0.0000  4 P 2.63, 5 W 2.82-2.95
W1 0.3617 0.3617 0.0000  4 P 2.48



Record 6
A relaxed structure of SnRhIN2, computed with PBE-GGA.

Calculated values
As for the space group: No. 123. For the raw formation energy, the calculation gives 1.5307 eV/atom. The uncorrected energy is -4.380 eV/atom. The size of the total moment is 3.22 μB per formula unit.

a = 4.0389 Å, b = 4.0389 Å, c = 6.6512 Å
α = 90.00°, β = 90.00°, γ = 90.00°
Closest atoms and distances in Å follow each position.
Fractional coordinates of all 5 atoms:
Sn1 0.0000 0.0000 0.0000  4 N 2.02
Rh1 0.5000 0.5000 0.5000  4 I 2.86
I1 0.0000 0.0000 0.5000  4 Rh 2.86
N1 0.0000 0.5000 0.0000  2 Sn 2.02
N2 0.5000 0.0000 0.0000  2 Sn 2.02



Record 7
A relaxed structure of KAcRh4, computed with PBE-GGA.

Calculated values
As for the space group: No. 216. The uncorrected energy is -5.873 eV/atom. The size of the total moment is 0.00 μB per formula unit. Its energy relative to the elements is -105 meV per atom.

a = 5.5106 Å, b = 5.5106 Å, c = 5.5106 Å
α = 60.00°, β = 60.00°, γ = 60.00°
Closest atoms and distances in Å follow each position.
Fractional coordinates of all 6 atoms:
K1 0.0000 0.0000 0.0000  12 Rh 3.23, 4 Ac 3.37
Ac1 0.7500 0.7500 0.7500  12 Rh 3.23, 4 K 3.37
Rh1 0.3749 0.3749 0.3749  6 Rh 2.75-2.76
Rh2 0.3749 0.3749 0.8752  6 Rh 2.75-2.76
Rh3 0.3749 0.8752 0.3749  6 Rh 2.75-2.76
Rh4 0.8752 0.3749 0.3749  6 Rh 2.75-2.76



Record 8
A relaxed structure of Ca2ZrRu, computed with PBE-GGA.

Calculated values
As for the space group: No. 10. The uncorrected energy is -5.048 eV/atom. The size of the total moment is 0.00 μB per formula unit. Its energy relative to the elements is 409 meV per atom.

a = 3.3415 Å, b = 4.9994 Å, c = 5.7454 Å
α = 90.00°, β = 103.19°, γ = 90.00°
Closest atoms and distances in Å follow each position.
Fractional coordinates of all 4 atoms:
Ca1 0.1021 0.0000 0.2709  2 Ca 2.87-3.03, 2 Ru 2.99
Ca2 0.8979 0.0000 0.7291  2 Ca 2.87-3.03, 2 Ru 2.99
Zr1 0.5000 0.5000 0.0000  2 Ru 2.87
Ru1 0.5000 0.5000 0.5000  2 Zr 2.87, 4 Ca 2.99



Record 9
A relaxed structure of La6HgOs2Br3, computed with PBE-GGA.

Calculated values
As for the space group: No. 12. For the raw formation energy, the calculation gives -0.8751 eV/atom. The uncorrected energy is -5.654 eV/atom. The size of the total moment is 0.00 μB per formula unit.

a = 10.2720 Å, b = 10.2720 Å, c = 9.4615 Å
α = 107.74°, β = 107.74°, γ = 23.76°
Closest atoms and distances in Å follow each position.
Fractional coordinates of all 12 atoms:
La1 0.0271 0.0271 0.2611  1 Os 2.67
La2 0.3182 0.3182 0.4385  3 Os 2.89-2.93
La3 0.3344 0.3344 0.8652  2 Os 2.87, 1 Hg 3.17
La4 0.6656 0.6656 0.1348  2 Os 2.87, 1 Hg 3.17
La5 0.6818 0.6818 0.5615  3 Os 2.89-2.93
La6 0.9729 0.9729 0.7389  1 Os 2.67
Hg1 0.5000 0.5000 0.0000  6 La 3.17
Os1 0.1669 0.1669 0.3399  6 La 2.67-2.93
Os2 0.8331 0.8331 0.6601  6 La 2.67-2.93
Br1 0.1666 0.1666 0.8371  5 La 3.30-3.53
Br2 0.5000 0.5000 0.5000  6 La 3.26-3.52
Br3 0.8334 0.8334 0.1629  5 La 3.30-3.53



Record 10
A relaxed structure of Y2HoRu, computed with PBE-GGA.

Calculated values
As for the space group: No. 63. The uncorrected energy is -6.992 eV/atom. The size of the total moment is 0.00 μB per formula unit. Its energy relative to the elements is -296 meV per atom.

a = 6.2720 Å, b = 6.2720 Å, c = 9.1487 Å
α = 90.00°, β = 90.00°, γ = 143.68°
Closest atoms and distances in Å follow each position.
Fractional coordinates of all 8 atoms:
Y1 0.1420 0.8580 0.5673  3 Ru 2.92-3.13
Y2 0.1420 0.8580 0.9327  3 Ru 2.92-3.13
Y3 0.8580 0.1420 0.0673  3 Ru 2.92-3.13
Y4 0.8580 0.1420 0.4327  3 Ru 2.92-3.13
Ho1 0.4224 0.5776 0.7500  2 Ru 2.76
Ho2 0.5776 0.4224 0.2500  2 Ru 2.76
Ru1 0.2413 0.7587 0.2500  2 Ho 2.76, 4 Y 2.92
Ru2 0.7587 0.2413 0.7500  2 Ho 2.76, 4 Y 2.92



Which formula does entry 1 have? BaScCo2



uncorrected energy of number 2 (SrCa2Mo)? -3.392 eV/atom



Please write out number 2 again, unchanged.
A relaxed structure of SrCa2Mo, computed with PBE-GGA.

Calculated values
As for the space group: No. 119. The uncorrected energy is -3.392 eV/atom. The size of the total moment is 2.48 μB per formula unit. Its energy relative to the elements is 738 meV per atom.

a = 5.6633 Å, b = 5.6633 Å, c = 5.6633 Å
α = 119.88°, β = 119.88°, γ = 90.20°
Closest atoms and distances in Å follow each position.
Fractional coordinates of all 4 atoms:
Sr1 0.0000 0.0000 0.0000  4 Mo 3.47, 4 Ca 3.47
Ca1 0.2500 0.7500 0.5000  4 Ca 3.47, 4 Sr 3.47
Ca2 0.5000 0.5000 0.0000  4 Mo 3.47, 4 Ca 3.47
Mo1 0.7500 0.2500 0.5000  4 Ca 3.47, 4 Sr 3.47